First-principles (GGA+U) data for K2Tl2VF6 after structural relaxation, as listed in Alexandria via LeMat-Bulk.

Cell: 6.3919 6.3919 6.5318 Å, 98.20 98.20 117.85°
With the nearest neighbours (Å) after each atom.
Fractional positions:
1 K 0.1573 0.8427 0.0000  6 F 2.65-2.74
2 K 0.8427 0.1573 0.0000  6 F 2.65-2.74
3 Tl 0.3290 0.6710 0.5000  4 F 2.68-2.71
4 Tl 0.6710 0.3290 0.5000  4 F 2.68-2.71
5 V 0.5000 0.5000 0.0000  6 F 2.15-2.18
6 F 0.1685 0.4518 0.8147  1 V 2.15
7 F 0.3067 0.3067 0.2214  1 V 2.18
8 F 0.4518 0.1685 0.8147  1 V 2.15
9 F 0.5482 0.8315 0.1853  1 V 2.15
10 F 0.6933 0.6933 0.7786  1 V 2.18
11 F 0.8315 0.5482 0.1853  1 V 2.15

Output
Spin magnetization (μB per formula unit): 3.00
Calculated density (Mg/m³): 4.77
Space-group type: C2/m, No. 12
Total energy (Ry/atom): -0.34392
Crystal system: monoclinic